First-principles (GGA+U) data for a relaxed structure of CdMoPO2, as listed in Alexandria. Values from VASP.

As for the space-group type: P4/mmm. The calculated total energy is -4.11 eV per atom.

Structure (Quantum ESPRESSO input):
```
&SYSTEM
  ibrav = 0, nat = 5, ntyp = 4
/
ATOMIC_SPECIES
Cd 112.41 Cd.upf
Mo 95.94 Mo.upf
P 30.97 P.upf
O 16.00 O.upf
CELL_PARAMETERS angstrom
4.087 0.000 0.000
0.000 4.087 0.000
0.000 0.000 5.196
ATOMIC_POSITIONS angstrom
Cd 0.000 0.000 0.000
Mo 2.044 2.044 2.598
P 0.000 0.000 2.598
O 0.000 2.044 0.000
O 2.044 0.000 0.000
```